VASP calculation (PBE-GGA) on LiLaTi2Ni after structural relaxation.

Structure (POSCAR):
```
LiLaTi2Ni
1.0
4.616 0.000 0.000
0.000 4.616 0.000
0.000 0.000 4.478
Li La Ti Ni
1 1 2 1
direct
0.000 0.000 0.000 Li
0.500 0.500 0.500 La
0.000 0.500 0.000 Ti
0.500 0.000 0.000 Ti
0.000 0.000 0.500 Ni
```

Output
Symmetry: P4/mmm
Magnetization: 2.3 Bohr magnetons per cell
DFT formation energy: 0.62 eV per atom